# 1
VASP calculation (PBE) on a relaxed structure of CeEr4P5.

a b c (Å): 6.905 6.905 6.905
angles (deg): 99.61 99.61 131.77
Positions (direct):
Ce (0.000, 0.000, 0.000)
Er (0.199, 0.399, 0.598)
Er (0.399, 0.801, 0.201)
Er (0.601, 0.199, 0.799)
Er (0.801, 0.601, 0.402)
P (0.100, 0.699, 0.799)
P (0.301, 0.100, 0.401)
P (0.500, 0.500, 0.000)
P (0.699, 0.900, 0.599)
P (0.900, 0.301, 0.201)

Values from the calculation:
**Energy of formation**: -1.592 eV/atom

=====

# 2
VASP calculation (PBE) on a relaxed structure of Ca2NiPd2.

a b c (Å): 7.845 7.845 3.476
angles (deg): 90.00 90.00 90.00
Positions (direct):
Ca (0.169, 0.331, 0.000)
Ca (0.331, 0.831, 0.000)
Ca (0.669, 0.169, 0.000)
Ca (0.831, 0.669, 0.000)
Ni (0.000, 0.000, 0.000)
Ni (0.500, 0.500, 0.000)
Pd (0.131, 0.631, 0.500)
Pd (0.369, 0.131, 0.500)
Pd (0.631, 0.869, 0.500)
Pd (0.869, 0.369, 0.500)

Values from the calculation:
**Energy of formation**: -0.037 eV/atom

=====

# 3
VASP calculation (PBE) on a relaxed structure of Ba2NiN2.

a b c (Å): 7.054 7.054 7.054
angles (deg): 145.89 145.89 49.01
Positions (direct):
Ba (0.145, 0.145, 0.000)
Ba (0.855, 0.855, 0.000)
Ni (0.500, 0.500, 0.000)
N (0.363, 0.363, 0.000)
N (0.637, 0.637, 0.000)

Values from the calculation:
**Raw formation energy**: -403.4 meV/atom